(1)
# Rb2CuO2

Rb2CuO2 after structural relaxation (GGA-PBE, the Alexandria database).

abc: 6.090 6.090 6.090
angles: 130.07 130.07 73.29
Positions (direct):
1 Rb 0.164 0.164 0.000
2 Rb 0.836 0.836 0.000
3 Cu 0.500 0.500 0.000
4 O 0.250 0.750 0.500
5 O 0.750 0.250 0.500

Summary:
The space group is I4/mmm (139). Its uncorrected formation energy is 225 meV/atom.

=====

(2)
# Rb4CuO2

Rb4CuO2 after structural relaxation (GGA-PBE, the Alexandria database).

abc: 8.329 8.329 8.329
angles: 38.43 38.43 38.43
Positions (direct):
1 Rb 0.111 0.111 0.111
2 Rb 0.300 0.300 0.300
3 Rb 0.700 0.700 0.700
4 Rb 0.889 0.889 0.889
5 Cu 0.500 0.500 0.500
6 O 0.421 0.421 0.421
7 O 0.579 0.579 0.579

Summary:
The space group is R-3m (166). Its uncorrected formation energy is -692 meV/atom.

=====

(3)
# Rb2CuO2

Rb2CuO2 after structural relaxation (GGA-PBE, the Alexandria database).

abc: 6.763 6.763 7.815
angles: 120.79 120.79 50.59
Positions (direct):
1 Rb 0.040 0.040 0.272
2 Rb 0.318 0.318 0.911
3 Rb 0.682 0.682 0.089
4 Rb 0.960 0.960 0.728
5 Cu 0.371 0.371 0.380
6 Cu 0.629 0.629 0.620
7 O 0.206 0.206 0.139
8 O 0.488 0.488 0.666
9 O 0.512 0.512 0.334
10 O 0.794 0.794 0.861

Summary:
The space group is C2/m (12). Its uncorrected formation energy is -970 meV/atom.

=====

(4)
# Rb3Cu2O3

Rb3Cu2O3 after structural relaxation (GGA-PBE, the Alexandria database).

abc: 6.174 6.174 16.857
angles: 90.00 90.00 148.09
Positions (direct):
1 Rb 0.041 0.959 0.627
2 Rb 0.041 0.959 0.873
3 Rb 0.283 0.717 0.750
4 Rb 0.717 0.283 0.250
5 Rb 0.959 0.041 0.127
6 Rb 0.959 0.041 0.373
7 Cu 0.207 0.793 0.044
8 Cu 0.207 0.793 0.456
9 Cu 0.793 0.207 0.544
10 Cu 0.793 0.207 0.956
11 O 0.334 0.666 0.581
12 O 0.334 0.666 0.919
13 O 0.406 0.594 0.250
14 O 0.594 0.406 0.750
15 O 0.666 0.334 0.081
16 O 0.666 0.334 0.419

Summary:
The space group is Cmcm (63). Its uncorrected formation energy is -776 meV/atom.

=====

(5)
# Rb12Cu3O5

Rb12Cu3O5 after structural relaxation (GGA-PBE, the Alexandria database).

abc: 15.676 15.676 15.676
angles: 109.47 109.47 109.47
Positions (direct):
1 Rb 0.014 0.194 0.113
2 Rb 0.014 0.319 0.901
3 Rb 0.082 0.694 0.681
4 Rb 0.082 0.887 0.401
5 Rb 0.099 0.613 0.418
6 Rb 0.099 0.986 0.681
7 Rb 0.113 0.014 0.194
8 Rb 0.113 0.599 0.918
9 Rb 0.181 0.194 0.582
10 Rb 0.181 0.486 0.599
11 Rb 0.194 0.113 0.014
12 Rb 0.194 0.582 0.181
13 Rb 0.306 0.319 0.918
14 Rb 0.306 0.486 0.387
15 Rb 0.319 0.901 0.014
16 Rb 0.319 0.918 0.306
17 Rb 0.387 0.306 0.486
18 Rb 0.387 0.582 0.901
19 Rb 0.401 0.082 0.887
20 Rb 0.401 0.819 0.514
21 Rb 0.418 0.099 0.613
22 Rb 0.418 0.819 0.806
23 Rb 0.486 0.387 0.306
24 Rb 0.486 0.599 0.181
25 Rb 0.514 0.401 0.819
26 Rb 0.514 0.613 0.694
27 Rb 0.582 0.181 0.194
28 Rb 0.582 0.901 0.387
29 Rb 0.599 0.181 0.486
30 Rb 0.599 0.918 0.113
31 Rb 0.613 0.418 0.099
32 Rb 0.613 0.694 0.514
33 Rb 0.681 0.082 0.694
34 Rb 0.681 0.099 0.986
35 Rb 0.694 0.514 0.613
36 Rb 0.694 0.681 0.082
37 Rb 0.806 0.418 0.819
38 Rb 0.806 0.887 0.986
39 Rb 0.819 0.514 0.401
40 Rb 0.819 0.806 0.418
41 Rb 0.887 0.401 0.082
42 Rb 0.887 0.986 0.806
43 Rb 0.901 0.014 0.319
44 Rb 0.901 0.387 0.582
45 Rb 0.918 0.113 0.599
46 Rb 0.918 0.306 0.319
47 Rb 0.986 0.681 0.099
48 Rb 0.986 0.806 0.887
49 Cu 0.125 0.250 0.375
50 Cu 0.125 0.375 0.750
51 Cu 0.250 0.375 0.125
52 Cu 0.250 0.875 0.625
53 Cu 0.375 0.125 0.250
54 Cu 0.375 0.750 0.125
55 Cu 0.625 0.250 0.875
56 Cu 0.625 0.875 0.750
57 Cu 0.750 0.125 0.375
58 Cu 0.750 0.625 0.875
59 Cu 0.875 0.625 0.250
60 Cu 0.875 0.750 0.625
61 O 0.000 0.000 0.000
62 O 0.000 0.000 0.500
63 O 0.000 0.500 0.000
64 O 0.000 0.500 0.500
65 O 0.125 0.750 0.875
66 O 0.125 0.875 0.250
67 O 0.250 0.125 0.875
68 O 0.250 0.625 0.375
69 O 0.375 0.250 0.625
70 O 0.375 0.625 0.750
71 O 0.500 0.000 0.000
72 O 0.500 0.000 0.500
73 O 0.500 0.500 0.000
74 O 0.500 0.500 0.500
75 O 0.625 0.375 0.250
76 O 0.625 0.750 0.375
77 O 0.750 0.375 0.625
78 O 0.750 0.875 0.125
79 O 0.875 0.125 0.750
80 O 0.875 0.250 0.125

Summary:
The space group is Ia-3d (230). Its uncorrected formation energy is -470 meV/atom.

=====

(6)
# Rb3Cu5O4

Rb3Cu5O4 after structural relaxation (GGA-PBE, the Alexandria database).

abc: 9.954 7.493 14.480
angles: 90.00 106.55 90.00
Positions (direct):
1 Rb 0.101 0.166 0.093
2 Rb 0.101 0.334 0.593
3 Rb 0.272 0.712 0.082
4 Rb 0.272 0.788 0.582
5 Rb 0.324 0.088 0.893
6 Rb 0.324 0.412 0.393
7 Rb 0.676 0.588 0.607
8 Rb 0.676 0.912 0.107
9 Rb 0.728 0.212 0.418
10 Rb 0.728 0.288 0.918
11 Rb 0.899 0.666 0.407
12 Rb 0.899 0.834 0.907
13 Cu 0.063 0.670 0.742
14 Cu 0.063 0.830 0.242
15 Cu 0.065 0.083 0.378
16 Cu 0.065 0.417 0.878
17 Cu 0.299 0.558 0.864
18 Cu 0.299 0.942 0.364
19 Cu 0.432 0.046 0.233
20 Cu 0.432 0.454 0.733
21 Cu 0.460 0.203 0.620
22 Cu 0.460 0.297 0.120
23 Cu 0.540 0.703 0.880
24 Cu 0.540 0.797 0.380
25 Cu 0.568 0.546 0.267
26 Cu 0.568 0.954 0.767
27 Cu 0.701 0.058 0.636
28 Cu 0.701 0.442 0.136
29 Cu 0.935 0.583 0.122
30 Cu 0.935 0.917 0.622
31 Cu 0.937 0.170 0.758
32 Cu 0.937 0.330 0.258
33 O 0.004 0.190 0.889
34 O 0.004 0.310 0.389
35 O 0.131 0.650 0.876
36 O 0.131 0.850 0.376
37 O 0.393 0.069 0.101
38 O 0.393 0.431 0.601
39 O 0.473 0.031 0.365
40 O 0.473 0.469 0.865
41 O 0.527 0.531 0.135
42 O 0.527 0.969 0.635
43 O 0.607 0.569 0.399
44 O 0.607 0.931 0.899
45 O 0.869 0.150 0.624
46 O 0.869 0.350 0.124
47 O 0.996 0.690 0.611
48 O 0.996 0.810 0.111

Summary:
The space group is P2_1/c (14). Its uncorrected formation energy is -852 meV/atom.

=====

(7)
# RbCuO2

RbCuO2 after structural relaxation (GGA-PBE, the Alexandria database).

abc: 5.629 5.629 5.629
angles: 115.43 115.43 98.11
Positions (direct):
1 Rb 0.000 0.000 0.000
2 Rb 0.750 0.250 0.500
3 Cu 0.250 0.750 0.500
4 Cu 0.500 0.500 0.000
5 O 0.274 0.625 0.149
6 O 0.375 0.524 0.649
7 O 0.476 0.125 0.851
8 O 0.875 0.726 0.351

Summary:
The space group is I-42d (122). Its uncorrected formation energy is -779 meV/atom.

=====

(8)
# Rb8Cu3O8

Rb8Cu3O8 after structural relaxation (GGA-PBE, the Alexandria database).

abc: 10.531 10.531 8.184
angles: 106.22 106.22 31.82
Positions (direct):
1 Rb 0.028 0.028 0.247
2 Rb 0.198 0.198 0.800
3 Rb 0.329 0.329 0.532
4 Rb 0.396 0.396 0.047
5 Rb 0.604 0.604 0.953
6 Rb 0.671 0.671 0.468
7 Rb 0.802 0.802 0.200
8 Rb 0.972 0.972 0.753
9 Cu 0.187 0.187 0.199
10 Cu 0.500 0.500 0.500
11 Cu 0.813 0.813 0.801
12 O 0.110 0.110 0.015
13 O 0.177 0.177 0.411
14 O 0.272 0.272 0.170
15 O 0.480 0.480 0.693
16 O 0.520 0.520 0.307
17 O 0.728 0.728 0.830
18 O 0.823 0.823 0.589
19 O 0.890 0.890 0.985

Summary:
The space group is C2/m (12). Its uncorrected formation energy is -1006 meV/atom.

=====

(9)
# Rb5CuO3

Rb5CuO3 after structural relaxation (GGA-PBE, the Alexandria database).

abc: 7.073 7.073 10.373
angles: 96.59 96.59 79.39
Positions (direct):
1 Rb 0.067 0.067 0.369
2 Rb 0.157 0.535 0.298
3 Rb 0.195 0.805 0.000
4 Rb 0.276 0.276 0.915
5 Rb 0.465 0.843 0.702
6 Rb 0.535 0.157 0.298
7 Rb 0.724 0.724 0.085
8 Rb 0.805 0.195 0.000
9 Rb 0.843 0.465 0.702
10 Rb 0.933 0.933 0.631
11 Cu 0.354 0.354 0.574
12 Cu 0.646 0.646 0.426
13 O 0.169 0.169 0.155
14 O 0.204 0.204 0.629
15 O 0.500 0.500 0.000
16 O 0.500 0.500 0.500
17 O 0.796 0.796 0.371
18 O 0.831 0.831 0.845

Summary:
The space group is C2/m (12). Its uncorrected formation energy is -851 meV/atom.

=====

(10)
# RbCu2O2

RbCu2O2 after structural relaxation (GGA-PBE, the Alexandria database).

abc: 6.717 6.717 6.717
angles: 119.44 119.44 90.97
Positions (direct):
1 Rb 0.000 0.000 0.000
2 Rb 0.750 0.250 0.500
3 Cu 0.373 0.055 0.682
4 Cu 0.373 0.691 0.318
5 Cu 0.441 0.623 0.818
6 Cu 0.805 0.623 0.182
7 O 0.097 0.797 0.300
8 O 0.497 0.797 0.700
9 O 0.547 0.347 0.800
10 O 0.547 0.747 0.200

Summary:
The space group is I4_1md (109). Its uncorrected formation energy is -566 meV/atom. As for the energy above the most stable polymorph in this dataset: 0.214 eV/atom.

=====

(11)
# Rb5Cu2O4

Rb5Cu2O4 after structural relaxation (GGA-PBE, the Alexandria database).

abc: 13.071 13.071 6.410
angles: 97.65 97.65 18.26
Positions (direct):
1 Rb 0.000 0.000 0.000
2 Rb 0.288 0.288 0.334
3 Rb 0.371 0.371 0.805
4 Rb 0.629 0.629 0.195
5 Rb 0.712 0.712 0.666
6 Cu 0.458 0.458 0.411
7 Cu 0.542 0.542 0.589
8 O 0.185 0.185 0.372
9 O 0.478 0.478 0.707
10 O 0.522 0.522 0.293
11 O 0.815 0.815 0.628

Summary:
The space group is C2/m (12). Its uncorrected formation energy is -576 meV/atom.

=====

(12)
# RbCu2O2

RbCu2O2 after structural relaxation (GGA-PBE, the Alexandria database).

abc: 6.080 6.080 6.080
angles: 141.51 141.51 55.57
Positions (direct):
1 Rb 0.000 0.000 0.000
2 Cu 0.278 0.278 0.000
3 Cu 0.722 0.722 0.000
4 O 0.250 0.750 0.500
5 O 0.750 0.250 0.500

Summary:
The space group is I4/mmm (139). Its uncorrected formation energy is -613 meV/atom. As for the energy above the most stable polymorph in this dataset: 0.167 eV/atom.